Compound: Ni3MoAs
Source: Alexandria
Functional: PBE-GGA
Structure: relaxed

Density = 6.37 Mg/m³
Energy relative to the lowest polymorph listed for this composition = 592.3 meV/atom
Energy relative to the elements = 1359 meV per atom

```
data_Ni3MoAs
_cell_length_a 4.490
_cell_length_b 4.490
_cell_length_c 4.490
_cell_angle_alpha 90.00
_cell_angle_beta 90.00
_cell_angle_gamma 90.00
_space_group_name_H-M_alt 'P m -3 m'
_space_group_IT_number 221
_space_group_name_Hall '-P 4 2 3'
loop_
_atom_site_label
_atom_site_type_symbol
_atom_site_fract_x
_atom_site_fract_y
_atom_site_fract_z
Ni1 Ni 0.000 0.000 0.500
Mo1 Mo 0.000 0.000 0.000
As1 As 0.500 0.500 0.500
```

***

Compound: NaLaF2
Source: Alexandria
Functional: PBE-GGA
Structure: relaxed

Density = 3.93 Mg/m³
Energy relative to the lowest polymorph listed for this composition = 0.0 meV/atom
Formation energy (no corrections) = -2.57 eV/atom

```
data_NaLaF2
_cell_length_a 3.7568
_cell_length_b 3.7568
_cell_length_c 20.7513
_cell_angle_alpha 90.00
_cell_angle_beta 90.00
_cell_angle_gamma 120.00
_space_group_name_H-M_alt 'R -3 m'
_space_group_IT_number 166
_space_group_name_Hall '-R 3 2"'
loop_
_atom_site_label
_atom_site_type_symbol
_atom_site_fract_x
_atom_site_fract_y
_atom_site_fract_z
Na1 Na 0.0000 0.0000 0.0000
La1 La 0.0000 0.0000 0.5000
F1 F 0.0000 0.0000 0.3891
```

***

Compound: Pr2YOs
Source: Alexandria
Functional: PBE-GGA
Structure: relaxed

Density = 7.45 Mg/m³
Energy relative to the lowest polymorph listed for this composition = 532.0 meV/atom
Energy relative to the elements = 417 meV per atom

```
data_Pr2YOs
_cell_length_a 3.6318
_cell_length_b 3.6318
_cell_length_c 32.8525
_cell_angle_alpha 90.00
_cell_angle_beta 90.00
_cell_angle_gamma 120.00
_space_group_name_H-M_alt 'R -3 m'
_space_group_IT_number 166
_space_group_name_Hall '-R 3 2"'
loop_
_atom_site_label
_atom_site_type_symbol
_atom_site_fract_x
_atom_site_fract_y
_atom_site_fract_z
Pr1 Pr 0.0000 0.0000 0.1062
Y1 Y 0.0000 0.0000 0.0000
Os1 Os 0.0000 0.0000 0.5000
```

***

Compound: MgIn2Ge
Source: Alexandria
Functional: PBE-GGA
Structure: relaxed

Density = 5.21 Mg/m³
Energy relative to the elements = 95 meV per atom

```
data_MgIn2Ge
_cell_length_a 4.6454
_cell_length_b 4.6454
_cell_length_c 16.7142
_cell_angle_alpha 90.00
_cell_angle_beta 90.00
_cell_angle_gamma 120.00
_space_group_name_H-M_alt 'R 3 m'
_space_group_IT_number 160
_space_group_name_Hall 'R 3 -2"'
loop_
_atom_site_label
_atom_site_type_symbol
_atom_site_fract_x
_atom_site_fract_y
_atom_site_fract_z
Mg1 Mg 0.0000 0.0000 0.0000
In1 In 0.0000 0.0000 0.2348
In2 In 0.0000 0.0000 0.4233
Ge1 Ge 0.0000 0.0000 0.8254
```

***

Compound: PrThOsPd
Source: Alexandria
Functional: PBE-GGA
Structure: relaxed

Density = 12.02 Mg/m³
Energy relative to the elements = -377 meV per atom

```
data_PrThOsPd
_cell_length_a 7.179
_cell_length_b 7.179
_cell_length_c 7.179
_cell_angle_alpha 90.00
_cell_angle_beta 90.00
_cell_angle_gamma 90.00
_space_group_name_H-M_alt 'F -4 3 m'
_space_group_IT_number 216
_space_group_name_Hall 'F -4 2 3'
loop_
_atom_site_label
_atom_site_type_symbol
_atom_site_fract_x
_atom_site_fract_y
_atom_site_fract_z
Pr1 Pr 0.000 0.000 0.000
Th1 Th 0.000 0.000 0.500
Os1 Os 0.250 0.250 0.250
Pd1 Pd 0.250 0.250 0.750
```

***

Compound: NaTeAsCl2
Source: Alexandria
Functional: PBE-GGA
Structure: relaxed

Density = 3.40 Mg/m³
Formation energy (no corrections) = -0.52 eV/atom

```
data_NaTeAsCl2
_cell_length_a 5.086
_cell_length_b 5.086
_cell_length_c 5.602
_cell_angle_alpha 90.00
_cell_angle_beta 90.00
_cell_angle_gamma 90.00
_space_group_name_H-M_alt 'P 4/m m m'
_space_group_IT_number 123
_space_group_name_Hall '-P 4 2'
loop_
_atom_site_label
_atom_site_type_symbol
_atom_site_fract_x
_atom_site_fract_y
_atom_site_fract_z
Na1 Na 0.000 0.000 0.000
Te1 Te 0.500 0.500 0.000
As1 As 0.500 0.500 0.500
Cl1 Cl 0.000 0.500 0.500
```

***

> Which of these has the highest density?

PrThOsPd

***

> Which formula does entry 3 have?

Pr2YOs

***

> density of number 3 (Pr2YOs)?

7.45 Mg/m³

***

> Among the records above, which one has the highest density?

PrThOsPd